Record 1
# RbHg2Se GGA-PBE optimized geometry
# Final energy ... -14.06 eV for the cell shown
# V ... 36.21 A^3/atom
data_RbHg2Se
_cell_length_a 6.404
_cell_length_b 6.467
_cell_length_c 8.322
_cell_angle_alpha 112.79
_cell_angle_beta 112.22
_cell_angle_gamma 90.12
_symmetry_space_group_name_H-M 'P 1'
_symmetry_Int_Tables_number 1
loop_
_symmetry_equiv_pos_as_xyz
'x,y,z'
loop_
_atom_site_label
_atom_site_type_symbol
_atom_site_fract_x
_atom_site_fract_y
_atom_site_fract_z
Se1 Se 0.148 0.649 0.798
Se2 Se 0.852 0.351 0.202
Hg1 Hg 0.716 0.500 0.500
Hg2 Hg 0.755 0.003 0.507
Hg3 Hg 0.284 0.500 0.500
Hg4 Hg 0.245 0.997 0.493
Rb1 Rb 0.749 0.751 0.003
Rb2 Rb 0.251 0.249 0.997

---

Record 2
# Rb2Hg3Se4 GGA-PBE optimized geometry
# Distance to the lowest polymorph of the same formula ... 0 meV per atom
# V ... 32.58 A^3/atom
data_Rb2Hg3Se4
_cell_length_a 10.044
_cell_length_b 10.044
_cell_length_c 10.044
_cell_angle_alpha 141.17
_cell_angle_beta 107.03
_cell_angle_gamma 85.87
_symmetry_space_group_name_H-M 'P 1'
_symmetry_Int_Tables_number 1
loop_
_symmetry_equiv_pos_as_xyz
'x,y,z'
loop_
_atom_site_label
_atom_site_type_symbol
_atom_site_fract_x
_atom_site_fract_y
_atom_site_fract_z
Rb1 Rb 0.881 0.225 0.106
Rb2 Rb 0.619 0.725 0.345
Rb3 Rb 0.381 0.275 0.655
Rb4 Rb 0.119 0.775 0.894
Se1 Se 0.732 0.588 0.592
Se2 Se 0.496 0.088 0.856
Se3 Se 0.768 0.359 0.856
Se4 Se 0.996 0.141 0.408
Se5 Se 0.232 0.641 0.144
Se6 Se 0.004 0.859 0.592
Se7 Se 0.504 0.912 0.144
Se8 Se 0.268 0.412 0.408
Hg1 Hg 0.584 0.750 0.834
Hg2 Hg 0.750 0.250 0.500
Hg3 Hg 0.250 0.750 0.500
Hg4 Hg 0.416 0.250 0.166
Hg5 Hg 0.084 0.250 0.834
Hg6 Hg 0.916 0.750 0.166

---

Record 3
# RbHg2Se GGA-PBE optimized geometry
# Final energy ... -55.91 eV for the cell shown
# V ... 34.36 A^3/atom
data_RbHg2Se
_cell_length_a 13.803
_cell_length_b 8.534
_cell_length_c 9.335
_cell_angle_alpha 90.00
_cell_angle_beta 90.00
_cell_angle_gamma 90.00
_symmetry_space_group_name_H-M 'P 1'
_symmetry_Int_Tables_number 1
loop_
_symmetry_equiv_pos_as_xyz
'x,y,z'
loop_
_atom_site_label
_atom_site_type_symbol
_atom_site_fract_x
_atom_site_fract_y
_atom_site_fract_z
Hg1 Hg 0.000 0.282 0.819
Hg2 Hg 0.500 0.000 0.540
Hg3 Hg 0.500 0.000 0.154
Hg4 Hg 0.500 0.782 0.819
Hg5 Hg 0.000 0.500 0.540
Hg6 Hg 0.000 0.218 0.319
Hg7 Hg 0.500 0.718 0.319
Hg8 Hg 0.500 0.218 0.819
Hg9 Hg 0.500 0.282 0.319
Hg10 Hg 0.000 0.000 0.040
Hg11 Hg 0.000 0.718 0.819
Hg12 Hg 0.500 0.500 0.654
Hg13 Hg 0.000 0.500 0.154
Hg14 Hg 0.500 0.500 0.040
Hg15 Hg 0.000 0.000 0.654
Hg16 Hg 0.000 0.782 0.319
Se1 Se 0.643 0.500 0.428
Se2 Se 0.357 0.500 0.428
Se3 Se 0.857 0.500 0.928
Se4 Se 0.857 0.000 0.428
Se5 Se 0.143 0.000 0.428
Se6 Se 0.643 0.000 0.928
Se7 Se 0.357 0.000 0.928
Se8 Se 0.143 0.500 0.928
Rb1 Rb 0.750 0.250 0.673
Rb2 Rb 0.250 0.250 0.673
Rb3 Rb 0.250 0.750 0.173
Rb4 Rb 0.750 0.750 0.173
Rb5 Rb 0.750 0.750 0.673
Rb6 Rb 0.250 0.250 0.173
Rb7 Rb 0.750 0.250 0.173
Rb8 Rb 0.250 0.750 0.673